Material: ZnIn2Ga2Pd5
Method: DFT, PBE
State: optimized geometry

D(E_F), states/eV/f.u.: 4.60
Energy, eV per atom: -4.296
Energy of formation, eV per atom: -0.419

Cell and atoms, written as POSCAR:
```
ZnIn2Ga2Pd5
1.0
-3.449 0.215 -0.188
0.109 -5.463 -8.255
-0.808 -8.233 5.438
Zn In Ga Pd
2 4 4 10
Direct
0.000 0.000 0.000
0.000 0.500 0.500
0.000 0.663 0.163
0.000 0.337 0.837
0.000 0.163 0.337
0.000 0.837 0.663
0.000 0.135 0.635
0.000 0.865 0.365
0.000 0.635 0.865
0.000 0.365 0.135
0.500 0.178 0.105
0.500 0.822 0.895
0.500 0.105 0.822
0.500 0.678 0.395
0.500 0.895 0.178
0.500 0.322 0.605
0.500 0.605 0.678
0.500 0.395 0.322
0.500 0.500 0.000
0.500 0.000 0.500
```